A plane-wave DFT calculation with GGA-PBE was carried out for an optimized crystal structure of YHoIrOs.

Cell and atoms, written as CIF:
```
data_YHoIrOs
_space_group_name_H-M_alt 'P 1'
_space_group_IT_number 1
_cell_length_a 4.823
_cell_length_b 4.823
_cell_length_c 4.823
_cell_angle_alpha 60.00
_cell_angle_beta 60.00
_cell_angle_gamma 60.00
loop_
_space_group_symop_operation_xyz
'x,y,z'
loop_
_atom_site_label
_atom_site_type_symbol
_atom_site_fract_x
_atom_site_fract_y
_atom_site_fract_z
Y1 Y 0.000 0.000 0.000
Ir1 Ir 0.750 0.750 0.750
Os1 Os 0.250 0.250 0.250
Ho1 Ho 0.500 0.500 0.500
```

**Space-group type**: F-43m (216)
**ΔH_f (0 K)**: -0.4411 eV per atom